The following is a PBE calculation of a relaxed BaTlAs2 crystal, from Alexandria.

Calculated values
N(E_F): 2.65 states/eV/f.u.
SG: No. 216
E_form: -0.15 eV per atom

Unit cell a=7.701 b=7.701 c=7.701 alpha=90.00 beta=90.00 gamma=90.00
Atoms (fractional coordinates):
Ba 0.000 0.000 0.000
Ba 0.000 0.500 0.500
Ba 0.500 0.000 0.500
Ba 0.500 0.500 0.000
Tl 0.250 0.250 0.250
Tl 0.250 0.750 0.750
Tl 0.750 0.250 0.750
Tl 0.750 0.750 0.250
As 0.000 0.000 0.500
As 0.000 0.500 0.000
As 0.250 0.250 0.750
As 0.250 0.750 0.250
As 0.500 0.000 0.000
As 0.500 0.500 0.500
As 0.750 0.250 0.250
As 0.750 0.750 0.750